Below is a geometry-optimized SrOsPd2 structure, with properties calculated at the PBEsol level.

Properties
For the total energy, the calculation gives -23.876 eV for the cell shown. As for the symmetry: Fm-3m. The formation energy is 2.1 eV/f.u.

The structure in POSCAR format:
```
SrOsPd2
1.0
4.6718 0.0000 0.0000
2.3359 4.0459 0.0000
2.3359 1.3486 3.8145
Os Pd Sr
1 2 1
direct
0.5000 0.5000 0.5000
0.7500 0.7500 0.7500
0.2500 0.2500 0.2500
0.0000 0.0000 0.0000
```

Below is a geometry-optimized LiLaAl structure, with properties calculated at the PBEsol level.

Properties
For the total energy, the calculation gives -11.943 eV for the cell shown. As for the symmetry: P-6m2. The formation energy is -0.5 eV/f.u.

The structure in POSCAR format:
```
LiLaAl
1.0
-1.9519 0.3968 2.5550
1.3380 -4.4985 1.7207
2.5860 4.0609 1.3450
Li La Al
1 1 1
direct
0.5000 0.6667 0.3333
0.0000 0.3333 0.6667
0.5000 0.0000 0.0000
```

Below is a geometry-optimized Ba2CdCu structure, with properties calculated at the PBEsol level.

Properties
For the total energy, the calculation gives -9.533 eV for the cell shown. As for the symmetry: F-43m. The formation energy is 0.3 eV/f.u.

The structure in POSCAR format:
```
Ba2CdCu
1.0
-2.3755 -2.1437 -4.3708
4.4442 1.0301 -2.9206
0.3725 -2.8890 4.5712
Cd Ba Cu
1 2 1
direct
0.5000 0.5000 0.0000
0.0000 0.0000 0.0000
0.7500 0.2500 0.5000
0.2500 0.7500 0.5000
```

Below is a geometry-optimized Mo2P2O11 structure, with properties calculated at the PBEsol level.

Properties
For the polymorph energy (0 for the lowest one), the calculation gives 0 meV/atom. For the total energy, the calculation gives -247.205 eV for the cell shown. As for the symmetry: P2_1/m. For the uncorrected formation energy, the calculation gives -2049 meV/atom.

The structure in POSCAR format:
```
Mo2P2O11
1.0
-4.7700 -4.1652 -0.4555
4.7066 -5.6160 2.0659
-0.5627 -0.3409 8.9959
O Mo P
22 4 4
direct
0.2499 0.9814 0.0398
0.5538 0.1848 0.1199
0.0573 0.6321 0.2981
0.4462 0.8152 0.8801
0.7499 0.3768 0.3372
0.4427 0.6322 0.2980
0.7500 0.6512 0.0826
0.7499 0.6244 0.5100
0.2501 0.6232 0.6628
0.7500 0.8954 0.2523
0.2498 0.0267 0.3229
0.9461 0.1849 0.1199
0.7500 0.6078 0.7911
0.5573 0.3678 0.7020
0.9427 0.3679 0.7019
0.2500 0.3488 0.9174
0.0539 0.8151 0.8801
0.2500 0.1046 0.7477
0.2500 0.3922 0.2089
0.2501 0.3756 0.4900
0.7501 0.0186 0.9602
0.7502 0.9733 0.6771
0.2500 0.3952 0.7170
0.7500 0.6048 0.2830
0.2499 0.1716 0.1504
0.7501 0.8284 0.8496
0.7500 0.4934 0.6680
0.2500 0.5066 0.3320
0.2500 0.9377 0.8806
0.7500 0.0623 0.1194
```

Below is a geometry-optimized NaGa2Ir2 structure, with properties calculated at the PBEsol level.

Properties
For the total energy, the calculation gives -58.567 eV for the cell shown. As for the symmetry: P4/mbm. The formation energy is -1.6 eV/f.u.

The structure in POSCAR format:
```
NaGa2Ir2
1.0
-0.4570 -0.5115 -2.7452
6.9994 -2.2433 -0.7472
-2.0413 -6.9113 1.6277
Na Ga Ir
2 4 4
direct
0.0000 0.0000 0.0000
0.0000 0.5000 0.5000
0.5000 0.6533 0.8467
0.5000 0.8467 0.3467
0.5000 0.3467 0.1533
0.5000 0.1533 0.6533
0.0000 0.1423 0.3577
0.0000 0.8577 0.6423
0.0000 0.6423 0.1423
0.0000 0.3577 0.8577
```

Below is a geometry-optimized Ta2CrP structure, with properties calculated at the PBEsol level.

Properties
For the total energy, the calculation gives -41.766 eV for the cell shown. As for the symmetry: Cmm2. The formation energy is -0.6 eV/f.u.

The structure in POSCAR format:
```
Ta2CrP
1.0
2.8626 0.0015 0.0000
-0.8121 2.7450 0.0000
0.0000 0.0000 7.5288
Cr Ta P
1 2 1
direct
0.0000 0.0000 0.4654
0.5000 0.5000 0.7279
0.0000 0.0000 0.0329
0.5000 0.5000 0.2738
```

Below is a geometry-optimized Na2H20CO13 structure, with properties calculated at the PBEsol level.

Properties
For the total energy, the calculation gives -378.063 eV for the cell shown. As for the symmetry: Cc.

The structure in POSCAR format:
```
Na2H20CO13
1.0
7.5901 -0.0190 -0.0552
-2.6475 7.1134 0.0552
-3.2668 -2.9931 11.2252
H Na O C
40 4 26 2
direct
0.5460 0.4996 0.5173
0.5914 0.6436 0.8213
0.8711 0.9198 0.3160
0.7939 0.4073 0.1158
0.1221 0.0743 0.6801
0.8871 0.4193 0.2552
0.8962 0.4449 0.8160
0.4035 0.1992 0.2380
0.6778 0.2299 0.3213
0.3751 0.3560 0.1651
0.7324 0.3878 0.8821
0.4939 0.1829 0.9378
0.4186 0.9852 0.8366
0.2130 0.5878 0.8437
0.2086 0.3220 0.6158
0.1509 0.3123 0.9897
0.1058 0.5580 0.1801
0.6616 0.6290 0.7067
0.7809 0.5505 0.5791
0.1774 0.8388 0.4897
0.1628 0.9783 0.4041
0.5286 0.7981 0.0791
0.3513 0.4180 0.3366
0.5389 0.8346 0.7380
0.7558 0.6307 0.3437
0.2548 0.4439 0.4378
0.0806 0.6028 0.7199
0.3359 0.3681 0.7552
0.6171 0.6393 0.2199
0.9942 0.1496 0.3821
0.0911 0.7709 0.0989
0.0108 0.8427 0.6263
0.5177 0.9713 0.0173
0.3091 0.7900 0.6651
0.8280 0.0078 0.5989
0.8350 0.1571 0.5211
0.2836 0.6155 0.1263
0.5777 0.0451 0.2067
0.9258 0.2413 0.9041
0.8640 0.6861 0.0211
0.9604 0.0941 0.1304
0.5363 0.1700 0.6304
0.0387 0.9051 0.8739
0.4688 0.8352 0.3739
0.2861 0.2728 0.6763
0.6406 0.4390 0.9940
0.9935 0.0405 0.3259
0.4148 0.5328 0.8853
0.0550 0.3534 0.4940
0.5573 0.1054 0.2802
0.3730 0.5077 0.4149
0.4395 0.5262 0.0742
0.3187 0.2774 0.2160
0.0898 0.6095 0.8044
0.0480 0.6347 0.5742
0.0230 0.1974 0.9572
0.7854 0.3324 0.8259
0.9866 0.8067 0.0461
0.6747 0.7228 0.7802
0.2598 0.9343 0.4572
0.4072 0.0418 0.9149
0.4386 0.8973 0.7160
0.0049 0.9528 0.6769
0.9035 0.3902 0.1763
0.5980 0.9391 0.0895
0.6504 0.4914 0.5895
0.7394 0.0595 0.5461
0.8525 0.4705 0.3853
0.2241 0.6720 0.1769
0.6948 0.7146 0.3044
0.4975 0.4986 0.9838
0.9852 0.4863 0.4838
```

Below is a geometry-optimized ZrSi3Pt structure, with properties calculated at the PBEsol level.

Properties
For the total energy, the calculation gives -26.661 eV for the cell shown. As for the symmetry: Pm-3m. For the uncorrected formation energy, the calculation gives 1326 meV/atom.

The structure in POSCAR format:
```
ZrSi3Pt
1.0
4.8752 0.0000 0.0000
0.0000 4.8752 0.0000
0.0000 0.0000 4.8752
Zr Pt Si
1 1 3
direct
0.0000 0.0000 0.0000
0.5000 0.5000 0.5000
0.0000 0.5000 0.0000
0.5000 0.0000 0.0000
0.0000 0.0000 0.5000
```

Below is a geometry-optimized TaZnW structure, with properties calculated at the PBEsol level.

Properties
For the polymorph energy (0 for the lowest one), the calculation gives 620 meV/atom. For the total energy, the calculation gives -25.238 eV for the cell shown. As for the symmetry: F-43m. The formation energy is 2.7 eV/f.u.

The structure in POSCAR format:
```
TaZnW
1.0
-1.4735 -1.5051 -3.6165
2.4706 -2.3064 -2.4683
-0.7098 -4.1026 -0.4250
Ta Zn W
1 1 1
direct
0.0000 0.0000 0.0000
0.2500 0.2500 0.2500
0.5000 0.5000 0.5000
```

Below is a geometry-optimized LaHgOF2 structure, with properties calculated at the PBEsol level.

Properties
For the polymorph energy (0 for the lowest one), the calculation gives 841 meV/atom. For the total energy, the calculation gives -22.956 eV for the cell shown. As for the symmetry: P4/mmm. For the uncorrected formation energy, the calculation gives -1588 meV/atom.

The structure in POSCAR format:
```
LaHgOF2
1.0
-1.8615 3.5769 -1.0838
-4.0135 -2.2069 -0.3899
-0.9069 0.8680 4.4221
F La Hg O
2 1 1 1
direct
0.0000 0.0000 0.5000
0.0000 0.5000 0.0000
0.5000 0.5000 0.5000
0.0000 0.0000 0.0000
0.5000 0.0000 0.0000
```

Below is a geometry-optimized Co2Mo structure, with properties calculated at the PBEsol level.

Properties
For the total energy, the calculation gives -26.487 eV for the cell shown. As for the symmetry: P-3m1. The formation energy is 0.8 eV/f.u.

The structure in POSCAR format:
```
Co2Mo
1.0
-1.0700 -1.8753 1.4439
1.7605 -0.6013 -1.8127
4.5481 0.6420 4.2042
Co Mo
2 1
direct
0.3333 0.6667 0.6521
0.6667 0.3333 0.3479
0.0000 0.0000 0.0000
```

Below is a geometry-optimized RbZrIr3 structure, with properties calculated at the PBEsol level.

Properties
For the polymorph energy (0 for the lowest one), the calculation gives 1225 meV/atom. For the total energy, the calculation gives -26.253 eV for the cell shown. As for the symmetry: Pm-3m. The formation energy is 13.3 eV/f.u.

The structure in POSCAR format:
```
RbZrIr3
1.0
-3.2655 -0.4542 3.3415
-3.2181 -0.9703 -3.2768
1.0077 -4.5703 0.3636
Ir Zr Rb
3 1 1
direct
0.0000 0.5000 0.0000
0.5000 0.0000 0.0000
0.0000 0.0000 0.5000
0.5000 0.5000 0.5000
0.0000 0.0000 0.0000
```

Below is a geometry-optimized AlInIr2 structure, with properties calculated at the PBEsol level.

Properties
For the total energy, the calculation gives -26.353 eV for the cell shown. As for the symmetry: F-43m. The formation energy is 0.4 eV/f.u.

The structure in POSCAR format:
```
AlInIr2
1.0
4.4534 0.0000 0.0000
2.2267 3.8568 0.0000
2.2267 1.2856 3.6362
Al Ir In
1 2 1
direct
0.5000 0.5000 0.5000
0.0000 0.0000 0.0000
0.7500 0.7500 0.7500
0.2500 0.2500 0.2500
```

Below is a geometry-optimized Nb4FeSe8 structure, with properties calculated at the PBEsol level.

Properties
For the total energy, the calculation gives -188.294 eV for the cell shown. As for the symmetry: P6_3/mmc. For the uncorrected formation energy, the calculation gives -854 meV/atom.

The structure in POSCAR format:
```
Nb4FeSe8
1.0
-0.7101 -1.0162 -6.7307
0.9406 -5.3326 4.1854
-11.9245 -0.9975 1.4087
Nb Se Fe
8 16 2
direct
0.4913 0.5087 0.7500
0.9827 0.4913 0.2500
0.5087 0.4913 0.2500
0.5087 0.0173 0.2500
0.4913 0.9827 0.7500
0.0000 0.0000 0.7500
0.0173 0.5087 0.7500
0.0000 0.0000 0.2500
0.3333 0.6667 0.8952
0.8336 0.6672 0.8877
0.3328 0.1664 0.6123
0.6672 0.8336 0.1123
0.1664 0.8336 0.1123
0.6667 0.3333 0.3952
0.6667 0.3333 0.1048
0.8336 0.6672 0.6123
0.3333 0.6667 0.6048
0.1664 0.3328 0.1123
0.6672 0.8336 0.3877
0.8336 0.1664 0.8877
0.8336 0.1664 0.6123
0.3328 0.1664 0.8877
0.1664 0.8336 0.3877
0.1664 0.3328 0.3877
0.0000 0.0000 0.5000
0.0000 0.0000 0.0000
```

Below is a geometry-optimized InGa2Ag2 structure, with properties calculated at the PBEsol level.

Properties
For the polymorph energy (0 for the lowest one), the calculation gives 6 meV/atom. For the total energy, the calculation gives -16.137 eV for the cell shown. As for the symmetry: I4/mmm. The formation energy is 0.1 eV/f.u.

The structure in POSCAR format:
```
InGa2Ag2
1.0
-0.3156 3.6896 -0.8540
-3.6106 -0.5517 -1.0495
-0.0075 -0.3202 7.0750
Ag Ga In
2 2 1
direct
0.6043 0.6043 0.2085
0.3957 0.3957 0.7915
0.2500 0.7500 0.5000
0.7500 0.2500 0.5000
0.0000 0.0000 0.0000
```

Below is a geometry-optimized Ni2TeSe2 structure, with properties calculated at the PBEsol level.

Properties
For the polymorph energy (0 for the lowest one), the calculation gives 220 meV/atom. For the total energy, the calculation gives -22.955 eV for the cell shown. As for the symmetry: I4/mmm. For the uncorrected formation energy, the calculation gives 117 meV/atom.

The structure in POSCAR format:
```
Ni2TeSe2
1.0
-3.7697 -1.1247 -0.7074
1.2879 -2.5699 -2.7772
1.6759 -1.9450 5.4533
Ni Se Te
2 2 1
direct
0.3811 0.3811 0.7623
0.6189 0.6189 0.2377
0.7500 0.2500 0.5000
0.2500 0.7500 0.5000
0.0000 0.0000 0.0000
```

Below is a geometry-optimized RhWAu2 structure, with properties calculated at the PBEsol level.

Properties
For the polymorph energy (0 for the lowest one), the calculation gives 0 meV/atom. For the total energy, the calculation gives -28.986 eV for the cell shown. As for the symmetry: I-4m2. The formation energy is 0.8 eV/f.u.

The structure in POSCAR format:
```
RhWAu2
1.0
-0.8519 -3.1570 2.1616
3.8118 -0.8920 0.1995
-1.1413 4.2182 2.1569
Rh Au W
1 2 1
direct
0.5000 0.5000 0.0000
0.2500 0.7500 0.5000
0.0000 0.0000 0.0000
0.7500 0.2500 0.5000
```

Below is a geometry-optimized NdIr2 structure, with properties calculated at the PBEsol level.

Properties
For the total energy, the calculation gives -53.715 eV for the cell shown. As for the symmetry: Fd-3m. The formation energy is -2.0 eV/f.u.

The structure in POSCAR format:
```
NdIr2
1.0
5.3695 0.0000 0.0000
2.6847 4.6501 0.0000
2.6847 1.5500 4.3841
Ir Nd
4 2
direct
0.6250 0.6250 0.6250
0.6250 0.6250 0.1250
0.6250 0.1250 0.6250
0.1250 0.6250 0.6250
0.0000 0.0000 0.0000
0.2500 0.2500 0.2500
```

Below is a geometry-optimized SrEu structure, with properties calculated at the PBEsol level.

Properties
For the total energy, the calculation gives -12.343 eV for the cell shown. As for the symmetry: P-6m2. The formation energy is 0.1 eV/f.u.

The structure in POSCAR format:
```
SrEu
1.0
3.9874 0.0000 0.0000
-1.9937 3.4532 0.0000
0.0000 0.0000 6.6089
Sr Eu
1 1
direct
0.0000 0.0000 0.0000
0.6667 0.3333 0.5000
```

Below is a geometry-optimized TlAuSe2 structure, with properties calculated at the PBEsol level.

Properties
For the total energy, the calculation gives -14.619 eV for the cell shown. As for the symmetry: Immm. For the uncorrected formation energy, the calculation gives -91 meV/atom.

The structure in POSCAR format:
```
TlAuSe2
1.0
-0.1425 -1.5257 3.4561
4.7237 -2.9393 0.9650
3.7347 2.5783 3.3599
Au Tl Se
1 1 2
direct
0.0000 0.5000 0.5000
0.5000 0.0000 0.0000
0.6852 0.3148 0.3148
0.3148 0.6852 0.6852
```